(1)
Li5Mn3Sb2O10: PBEsol geometry, meta-GGA SCAN.

## Properties
N(E_F): 2.351 states/eV/cell
Crystal system: triclinic

Cell: 5.2688 5.3357 8.1971 Å, 101.89 108.24 100.46°
Site moments in Bohr magnetons follow the coordinates.
Atoms (fractional coordinates):
1 O 0.0949 0.0456 0.8437  0.07
2 O 0.9051 0.9544 0.1563  0.07
3 O 0.4822 0.2290 0.2475  0.06
4 Li 0.7008 0.6161 0.2219  0.00
5 O 0.6981 0.3251 0.9272  0.08
6 Mn 0.1053 0.3108 0.1084  4.52
7 Sb 0.2815 0.9024 0.3039  -0.05
8 Sb 0.7185 0.0976 0.6961  -0.05
9 Mn 0.5000 0.0000 0.0000  4.47
10 Li 0.2992 0.3839 0.7781  0.00
11 Li 0.5000 0.5000 0.5000  0.00
12 O 0.6667 0.8578 0.4484  -0.02
13 O 0.3019 0.6749 0.0728  0.08
14 O 0.3333 0.1422 0.5516  -0.02
15 Li 0.1185 0.7565 0.6061  0.00
16 Mn 0.8947 0.6892 0.8916  4.52
17 O 0.9070 0.4321 0.6532  0.02
18 O 0.5178 0.7710 0.7525  0.06
19 O 0.0930 0.5679 0.3468  0.02
20 Li 0.8815 0.2435 0.3939  0.00

(2)
Li3Mn3SbO8: PBEsol geometry, meta-GGA SCAN.

## Properties
N(E_F): 3.761 states/eV/cell
Crystal system: trigonal

Cell: 5.9976 5.9976 5.9976 Å, 60.91 60.91 60.91°
Site moments in Bohr magnetons follow the coordinates.
Atoms (fractional coordinates):
1 O 0.2340 0.7666 0.7666  0.07
2 Li 0.0000 0.5000 0.0000  0.00
3 O 0.7304 0.7304 0.7304  -0.02
4 O 0.2334 0.7660 0.2334  0.07
5 O 0.7666 0.2340 0.7666  0.07
6 Li 0.5000 0.0000 0.0000  0.00
7 O 0.2334 0.2334 0.7660  0.07
8 Mn 0.0000 0.5000 0.5000  4.05
9 O 0.2696 0.2696 0.2696  -0.02
10 O 0.7666 0.7666 0.2340  0.07
11 O 0.7660 0.2334 0.2334  0.07
12 Mn 0.5000 0.0000 0.5000  4.05
13 Li 0.0000 0.0000 0.5000  0.00
14 Sb 0.0000 0.0000 0.0000  0.02
15 Mn 0.5000 0.5000 0.0000  4.05

(3)
Li4Mn3SbO8: PBEsol geometry, meta-GGA SCAN.

## Properties
N(E_F): 2.090 states/eV/cell
Crystal system: monoclinic

Cell: 6.0503 6.2020 8.3884 Å, 90.00 91.72 90.00°
Site moments in Bohr magnetons follow the coordinates.
Atoms (fractional coordinates):
1 O 0.7373 0.2429 0.5100  0.10
2 Li 0.0000 0.0000 0.0000  0.00
3 Mn 0.0000 0.5000 0.5000  3.79
4 Mn 0.5000 0.5000 0.0000  3.79
5 Li 0.5000 0.5000 0.5000  0.00
6 O 0.2180 0.2751 0.4911  0.09
7 O 0.0137 0.5240 0.2614  0.05
8 O 0.9863 0.4760 0.7386  0.05
9 O 0.7180 0.7249 0.9911  0.09
10 Li 0.7500 0.2235 0.2500  0.00
11 O 0.9861 0.0110 0.7548  0.08
12 Mn 0.0000 0.0000 0.5000  4.51
13 Mn 0.5000 0.0000 0.0000  4.51
14 O 0.2820 0.2751 0.0089  0.09
15 O 0.0139 0.9890 0.2452  0.08
16 O 0.5139 0.0110 0.7452  0.08
17 O 0.5137 0.4760 0.7614  0.05
18 O 0.7820 0.7249 0.5089  0.09
19 Li 0.0000 0.5000 0.0000  0.00
20 O 0.7627 0.2429 0.9900  0.10
21 Sb 0.2500 0.7568 0.2500  0.02
22 Li 0.2500 0.7765 0.7500  0.00
23 O 0.4861 0.9890 0.2548  0.08
24 Mn 0.2500 0.2529 0.2500  4.46
25 Sb 0.7500 0.2432 0.7500  0.02
26 Li 0.5000 0.0000 0.5000  0.00
27 O 0.2373 0.7571 0.0100  0.10
28 Li 0.2500 0.2606 0.7500  0.01
29 O 0.2627 0.7571 0.4900  0.10
30 Mn 0.7500 0.7471 0.7500  4.46
31 Li 0.7500 0.7394 0.2500  0.01
32 O 0.4863 0.5240 0.2386  0.05

The following total energy values (in eV per atom) correspond, in order, to the records above: -12.069; -11.945; -11.491.